# 1
! Li2FeSiO4, optimized geometry, DFT PBE+U; values from VASP
&SYSTEM
  ibrav = 0, nat = 8, ntyp = 4
/
ATOMIC_SPECIES
Li 6.94 Li.upf
Fe 55.84 Fe.upf
Si 28.09 Si.upf
O 16.00 O.upf
CELL_PARAMETERS angstrom
4.468 0.000 0.000
0.000 4.468 0.000
-2.234 -2.234 4.305
ATOMIC_POSITIONS crystal
Li 0.750 0.250 0.500
Li 0.250 0.750 0.500
Fe 0.500 0.500 0.000
Si 0.000 0.000 0.000
O 0.102 0.675 0.777
O 0.675 0.102 0.777
O 0.325 0.325 0.223
O 0.898 0.898 0.223
! space group = I-42m
! crystal system = tetragonal
! magnetization = 4.00 μB/f.u.
! theoretical density = 3.126 g/cm3

=====

# 2
! LiFeSiO4, optimized geometry, DFT PBE+U; values from VASP
&SYSTEM
  ibrav = 0, nat = 28, ntyp = 4
/
ATOMIC_SPECIES
Li 6.94 Li.upf
Fe 55.84 Fe.upf
Si 28.09 Si.upf
O 16.00 O.upf
CELL_PARAMETERS angstrom
-4.253 2.382 1.103
-3.820 -4.266 -5.517
-1.949 -6.395 6.295
ATOMIC_POSITIONS crystal
Li 0.927 0.056 0.599
Li 0.427 0.444 0.099
Li 0.927 0.556 0.901
Li 0.427 0.944 0.401
Fe 0.007 0.173 0.020
Fe 0.507 0.327 0.520
Fe 0.007 0.673 0.480
Fe 0.507 0.827 0.980
Si 0.562 0.220 0.857
Si 0.062 0.280 0.357
Si 0.562 0.720 0.643
Si 0.062 0.780 0.143
O 0.679 0.046 0.936
O 0.225 0.144 0.461
O 0.240 0.245 0.869
O 0.652 0.215 0.686
O 0.152 0.285 0.186
O 0.740 0.255 0.369
O 0.725 0.356 0.961
O 0.179 0.454 0.436
O 0.679 0.546 0.564
O 0.225 0.644 0.039
O 0.240 0.745 0.631
O 0.652 0.715 0.814
O 0.152 0.785 0.314
O 0.740 0.755 0.131
O 0.725 0.856 0.539
O 0.179 0.954 0.064
! space group = Pna2_1
! crystal system = orthorhombic
! magnetization = 5.00 μB/f.u.
! theoretical density = 2.819 g/cm3

=====

# 3
! Li2FeSi3O8, optimized geometry, DFT PBE+U; values from VASP
&SYSTEM
  ibrav = 0, nat = 28, ntyp = 4
/
ATOMIC_SPECIES
Li 6.94 Li.upf
Fe 55.84 Fe.upf
Si 28.09 Si.upf
O 16.00 O.upf
CELL_PARAMETERS angstrom
6.524 -0.037 0.000
-2.274 6.563 0.000
0.000 0.000 8.287
ATOMIC_POSITIONS crystal
Li 0.205 0.763 0.678
Li 0.795 0.237 0.178
Li 0.398 0.436 0.176
Li 0.602 0.564 0.676
Fe 0.975 0.624 0.001
Fe 0.025 0.376 0.501
Si 0.590 0.951 0.471
Si 0.410 0.049 0.971
Si 0.769 0.941 0.823
Si 0.231 0.059 0.323
Si 0.815 0.675 0.341
Si 0.185 0.325 0.841
O 0.001 0.887 0.274
O 0.999 0.113 0.774
O 0.664 0.050 0.964
O 0.336 0.950 0.464
O 0.607 0.902 0.664
O 0.393 0.098 0.164
O 0.236 0.843 0.908
O 0.764 0.157 0.408
O 0.595 0.744 0.373
O 0.405 0.256 0.873
O 0.771 0.717 0.866
O 0.229 0.283 0.366
O 0.882 0.597 0.513
O 0.118 0.403 0.013
O 0.760 0.514 0.192
O 0.240 0.486 0.692
! space group = P2_1
! crystal system = monoclinic
! magnetization = 4.00 μB/f.u.
! theoretical density = 2.645 g/cm3

=====

# 4
! LiFeSiO4, optimized geometry, DFT PBE+U; values from VASP
&SYSTEM
  ibrav = 0, nat = 14, ntyp = 4
/
ATOMIC_SPECIES
Li 6.94 Li.upf
Fe 55.84 Fe.upf
Si 28.09 Si.upf
O 16.00 O.upf
CELL_PARAMETERS angstrom
-6.309 -5.646 1.077
-3.967 -6.699 -3.497
-1.777 -8.288 0.998
ATOMIC_POSITIONS crystal
Li 0.118 0.118 0.118
Li 0.882 0.882 0.882
Fe 0.734 0.734 0.734
Fe 0.266 0.266 0.266
Si 0.410 0.410 0.410
Si 0.590 0.590 0.590
O 0.453 0.124 0.720
O 0.876 0.280 0.547
O 0.124 0.720 0.453
O 0.547 0.876 0.280
O 0.280 0.547 0.876
O 0.342 0.342 0.342
O 0.658 0.658 0.658
O 0.720 0.453 0.124
! space group = R-3
! crystal system = trigonal
! magnetization = 4.98 μB/f.u.
! theoretical density = 2.705 g/cm3

=====

# 5
! LiFeSiO4, optimized geometry, DFT PBE+U; values from VASP
&SYSTEM
  ibrav = 0, nat = 42, ntyp = 4
/
ATOMIC_SPECIES
Li 6.94 Li.upf
Fe 55.84 Fe.upf
Si 28.09 Si.upf
O 16.00 O.upf
CELL_PARAMETERS angstrom
-5.517 -2.008 -6.579
0.448 -5.186 7.117
-6.123 4.593 3.732
ATOMIC_POSITIONS crystal
Li 0.333 0.667 0.242
Li 0.333 0.667 0.814
Li 0.000 0.000 0.069
Li 0.000 0.000 0.569
Li 0.667 0.333 0.742
Li 0.667 0.333 0.314
Fe 0.034 0.690 0.398
Fe 0.310 0.344 0.398
Fe 0.656 0.966 0.398
Fe 0.344 0.034 0.898
Fe 0.690 0.656 0.898
Fe 0.966 0.310 0.898
Si 0.038 0.683 0.019
Si 0.317 0.355 0.019
Si 0.645 0.962 0.019
Si 0.355 0.038 0.519
Si 0.683 0.645 0.519
Si 0.962 0.317 0.519
O 0.141 0.908 0.508
O 0.131 0.718 0.194
O 0.085 0.525 0.482
O 0.202 0.784 0.893
O 0.216 0.419 0.893
O 0.441 0.915 0.482
O 0.092 0.232 0.508
O 0.282 0.413 0.194
O 0.587 0.869 0.194
O 0.475 0.559 0.482
O 0.232 0.141 0.008
O 0.581 0.798 0.893
O 0.419 0.202 0.393
O 0.768 0.859 0.508
O 0.525 0.441 0.982
O 0.413 0.131 0.694
O 0.718 0.587 0.694
O 0.908 0.768 0.008
O 0.559 0.085 0.982
O 0.784 0.581 0.393
O 0.798 0.216 0.393
O 0.916 0.475 0.982
O 0.869 0.282 0.694
O 0.859 0.092 0.008
! space group = P6_3
! crystal system = hexagonal
! magnetization = 4.99 μB/f.u.
! theoretical density = 2.691 g/cm3

=====

# 6
! Li2Fe2Si8O19, optimized geometry, DFT PBE+U; values from VASP
&SYSTEM
  ibrav = 0, nat = 31, ntyp = 4
/
ATOMIC_SPECIES
Li 6.94 Li.upf
Fe 55.84 Fe.upf
Si 28.09 Si.upf
O 16.00 O.upf
CELL_PARAMETERS angstrom
-5.002 -2.226 -5.113
-0.239 -3.872 -6.408
-3.243 -11.725 2.978
ATOMIC_POSITIONS crystal
Li 0.099 0.667 0.640
Li 0.333 0.901 0.360
Fe 0.295 0.303 0.406
Fe 0.697 0.705 0.594
Si 0.566 0.185 0.932
Si 0.181 0.817 0.172
Si 0.919 0.940 0.420
Si 0.625 0.788 0.840
Si 0.212 0.375 0.160
Si 0.060 0.081 0.580
Si 0.183 0.819 0.828
Si 0.815 0.434 0.068
O 0.887 0.017 0.904
O 0.366 0.498 0.870
O 0.130 0.867 0.301
O 0.607 0.230 0.408
O 0.519 0.042 0.886
O 0.977 0.674 0.474
O 0.800 0.725 0.718
O 0.117 0.654 0.168
O 0.805 0.516 0.933
O 0.484 0.195 0.067
O 0.346 0.883 0.832
O 0.275 0.200 0.282
O 0.326 0.023 0.526
O 0.958 0.481 0.114
O 0.770 0.393 0.592
O 0.133 0.870 0.699
O 0.071 0.929 0.500
O 0.502 0.634 0.130
O 0.983 0.113 0.096
! space group = C2
! crystal system = monoclinic
! magnetization = 8.00 μB/f.u.
! theoretical density = 2.495 g/cm3

=====

# 7
! LiFeSiO4, optimized geometry, DFT PBE+U; values from VASP
&SYSTEM
  ibrav = 0, nat = 14, ntyp = 4
/
ATOMIC_SPECIES
Li 6.94 Li.upf
Fe 55.84 Fe.upf
Si 28.09 Si.upf
O 16.00 O.upf
CELL_PARAMETERS angstrom
-0.280 3.728 -3.638
-0.464 -3.561 -3.613
-7.175 -3.365 -2.897
ATOMIC_POSITIONS crystal
Li 0.318 0.492 0.997
Li 0.682 0.492 0.497
Fe 0.679 0.991 0.996
Fe 0.321 0.991 0.496
Si 0.186 0.238 0.747
Si 0.814 0.238 0.247
O 0.337 0.157 0.943
O 0.877 0.284 0.762
O 0.238 0.932 0.734
O 0.315 0.571 0.550
O 0.663 0.157 0.443
O 0.123 0.284 0.262
O 0.762 0.932 0.234
O 0.685 0.571 0.050
! space group = Pc
! crystal system = monoclinic
! magnetization = 4.98 μB/f.u.
! theoretical density = 2.867 g/cm3

=====

# 8
! LiFeSiO4, optimized geometry, DFT PBE+U; values from VASP
&SYSTEM
  ibrav = 0, nat = 42, ntyp = 4
/
ATOMIC_SPECIES
Li 6.94 Li.upf
Fe 55.84 Fe.upf
Si 28.09 Si.upf
O 16.00 O.upf
CELL_PARAMETERS angstrom
8.632 -0.012 -0.018
-2.584 8.237 -0.018
-2.584 -3.513 7.450
ATOMIC_POSITIONS crystal
Li 0.770 0.948 0.539
Li 0.052 0.461 0.230
Li 0.461 0.230 0.052
Li 0.539 0.770 0.948
Li 0.948 0.539 0.770
Li 0.230 0.052 0.461
Fe 0.418 0.608 0.201
Fe 0.392 0.799 0.582
Fe 0.799 0.582 0.392
Fe 0.201 0.418 0.608
Fe 0.608 0.201 0.418
Fe 0.582 0.392 0.799
Si 0.264 0.869 0.096
Si 0.904 0.736 0.131
Si 0.131 0.904 0.736
Si 0.869 0.096 0.264
Si 0.096 0.264 0.869
Si 0.736 0.131 0.904
O 0.049 0.740 0.037
O 0.963 0.951 0.260
O 0.374 0.748 0.069
O 0.931 0.626 0.252
O 0.300 0.357 0.026
O 0.659 0.707 0.361
O 0.252 0.931 0.626
O 0.293 0.639 0.341
O 0.643 0.974 0.700
O 0.974 0.700 0.643
O 0.639 0.341 0.293
O 0.260 0.963 0.951
O 0.740 0.037 0.049
O 0.361 0.659 0.707
O 0.026 0.300 0.357
O 0.357 0.026 0.300
O 0.707 0.361 0.659
O 0.748 0.069 0.374
O 0.341 0.293 0.639
O 0.700 0.643 0.974
O 0.069 0.374 0.748
O 0.626 0.252 0.931
O 0.037 0.049 0.740
O 0.951 0.260 0.963
! space group = R-3
! crystal system = trigonal
! magnetization = 5.00 μB/f.u.
! theoretical density = 2.920 g/cm3

=====

Number 1: calculated total energy -52.79 eV for the cell shown, ΔE to the lowest computed polymorph 14 meV/atom, DOS at the Fermi energy 0.00 states/eV/atom. Number 2: calculated total energy -191.27 eV for the cell shown, ΔE to the lowest computed polymorph 74 meV/atom, DOS at the Fermi energy 0.00 states/eV/atom. Number 3: calculated total energy -199.20 eV for the cell shown, ΔE to the lowest computed polymorph 0 meV/atom, DOS at the Fermi energy 0.00 states/eV/atom. Number 4: calculated total energy -95.75 eV for the cell shown, ΔE to the lowest computed polymorph 66 meV/atom, DOS at the Fermi energy 0.00 states/eV/atom. Number 5: calculated total energy -287.88 eV for the cell shown, ΔE to the lowest computed polymorph 51 meV/atom, DOS at the Fermi energy 0.00 states/eV/atom. Number 6: calculated total energy -231.02 eV for the cell shown, ΔE to the lowest computed polymorph 0 meV/atom, DOS at the Fermi energy 0.00 states/eV/atom. Number 7: calculated total energy -96.37 eV for the cell shown, ΔE to the lowest computed polymorph 21 meV/atom, DOS at the Fermi energy 0.00 states/eV/atom. Number 8: calculated total energy -287.78 eV for the cell shown, ΔE to the lowest computed polymorph 53 meV/atom, DOS at the Fermi energy 0.00 states/eV/atom.